Entry 1:
Below is a relaxed structure of MgVO3, with properties calculated at the PBE+U level.

## Properties
As for the density of states at the Fermi level: 2.12 states/eV/cell. Its space group is Pm-3m (221). The crystal system is cubic. Its uncorrected energy is -6.62 eV/atom.

a b c (Å): 3.7924 3.7924 3.7924
angles (deg): 90.00 90.00 90.00
Atoms (fractional coordinates):
Mg 0.0000 0.0000 0.0000
V 0.5000 0.5000 0.5000
O 0.0000 0.5000 0.5000
O 0.5000 0.0000 0.5000
O 0.5000 0.5000 0.0000

=====

Entry 2:
Below is a relaxed structure of MgV8O16, with properties calculated at the PBE+U level.

## Properties
Its space group is Pm (6). The crystal system is monoclinic. Its uncorrected energy is -7.58 eV/atom.

a b c (Å): 5.2045 10.4627 5.9023
angles (deg): 90.00 92.74 90.00
Atoms (fractional coordinates):
Mg 0.0000 0.0000 0.0000
V 0.1508 0.2506 0.7403
V 0.1508 0.7494 0.7403
V 0.1574 0.2513 0.2468
V 0.1574 0.7487 0.2468
V 0.6434 0.2490 0.9967
V 0.6434 0.7510 0.9967
V 0.6660 0.2276 0.5011
V 0.6660 0.7724 0.5011
O 0.3080 0.1449 0.9972
O 0.3080 0.8551 0.9972
O 0.3122 0.1509 0.4869
O 0.3122 0.8491 0.4869
O 0.5011 0.3307 0.2545
O 0.5011 0.6693 0.2545
O 0.5118 0.3317 0.7447
O 0.5118 0.6683 0.7447
O 0.8202 0.1371 0.7528
O 0.8202 0.8629 0.7528
O 0.8299 0.1398 0.2252
O 0.8299 0.8602 0.2252
O 0.9745 0.3358 0.4863
O 0.9745 0.6642 0.4863
O 0.9871 0.3376 0.0042
O 0.9871 0.6624 0.0042

=====

Entry 3:
Below is a relaxed structure of Mg6VO8, with properties calculated at the PBE+U level.

## Properties
As for the density of states at the Fermi level: 6.77 states/eV/cell. Its space group is Fm-3m (225). The crystal system is cubic. Its uncorrected energy is -6.30 eV/atom.

a b c (Å): 6.0129 6.0129 6.0129
angles (deg): 60.00 60.00 60.00
Atoms (fractional coordinates):
Mg 0.0000 0.0000 0.5000
Mg 0.0000 0.5000 0.0000
Mg 0.0000 0.5000 0.5000
Mg 0.5000 0.0000 0.0000
Mg 0.5000 0.0000 0.5000
Mg 0.5000 0.5000 0.0000
V 0.0000 0.0000 0.0000
O 0.2310 0.2310 0.7690
O 0.2310 0.7690 0.2310
O 0.2310 0.7690 0.7690
O 0.2500 0.2500 0.2500
O 0.7500 0.7500 0.7500
O 0.7690 0.2310 0.2310
O 0.7690 0.2310 0.7690
O 0.7690 0.7690 0.2310

=====

Entry 4:
Below is a relaxed structure of Mg3VO4, with properties calculated at the PBE+U level.

## Properties
Its space group is Pm-3m (221). The crystal system is cubic. The energy above the most stable polymorph in this dataset is 9.5 meV per atom. Its uncorrected energy is -6.44 eV/atom.

a b c (Å): 4.3091 4.3091 4.3091
angles (deg): 90.00 90.00 90.00
Atoms (fractional coordinates):
Mg 0.0000 0.0000 0.5000
Mg 0.0000 0.5000 0.0000
Mg 0.5000 0.0000 0.0000
V 0.5000 0.5000 0.5000
O 0.0000 0.0000 0.0000
O 0.0000 0.5000 0.5000
O 0.5000 0.0000 0.5000
O 0.5000 0.5000 0.0000

=====

Entry 5:
Below is a relaxed structure of MgVO3, with properties calculated at the PBE+U level.

## Properties
As for the density of states at the Fermi level: 0.00 states/eV/cell. Its space group is Ama2 (40). The crystal system is orthorhombic. Its uncorrected energy is -7.02 eV/atom.

a b c (Å): 3.5878 7.3020 7.3020
angles (deg): 141.11 90.00 90.00
Atoms (fractional coordinates):
Mg 0.2500 0.1790 0.8210
Mg 0.7500 0.8210 0.1790
V 0.2500 0.3408 0.5135
V 0.7500 0.5135 0.3408
O 0.2500 0.0340 0.4474
O 0.2500 0.3677 0.2468
O 0.2500 0.6628 0.8822
O 0.7500 0.2468 0.3677
O 0.7500 0.4474 0.0340
O 0.7500 0.8822 0.6628

=====

Entry 6:
Below is a relaxed structure of Mg2V2O7, with properties calculated at the PBE+U level.

## Properties
As for the density of states at the Fermi level: 0.00 states/eV/cell. Its space group is P-1 (2). The crystal system is triclinic. Its uncorrected energy is -7.04 eV/atom.

a b c (Å): 5.0442 5.4873 10.6694
angles (deg): 101.65 101.87 98.86
Atoms (fractional coordinates):
Mg 0.0166 0.2932 0.0869
Mg 0.0711 0.2876 0.5817
Mg 0.9289 0.7124 0.4183
Mg 0.9834 0.7068 0.9131
V 0.3501 0.3006 0.8689
V 0.4627 0.1471 0.3571
V 0.5373 0.8529 0.6429
V 0.6499 0.6994 0.1311
O 0.1169 0.4512 0.7824
O 0.1868 0.0728 0.9309
O 0.2091 0.0558 0.4378
O 0.2604 0.6197 0.5426
O 0.2919 0.5730 0.0361
O 0.3236 0.2624 0.2312
O 0.4088 0.1307 0.7146
O 0.5912 0.8693 0.2854
O 0.6764 0.7376 0.7688
O 0.7081 0.4270 0.9639
O 0.7396 0.3803 0.4574
O 0.7909 0.9442 0.5622
O 0.8132 0.9272 0.0691
O 0.8831 0.5488 0.2176

=====

Entry 7:
Below is a relaxed structure of Mg2V2O7, with properties calculated at the PBE+U level.

## Properties
As for the density of states at the Fermi level: 0.00 states/eV/cell. Its space group is P2_1/c (14). The crystal system is monoclinic. Its uncorrected energy is -7.03 eV/atom.

a b c (Å): 6.7177 8.5251 9.6151
angles (deg): 90.00 100.87 90.00
Atoms (fractional coordinates):
Mg 0.1468 0.1211 0.4636
Mg 0.1468 0.3789 0.9636
Mg 0.3077 0.1107 0.1812
Mg 0.3077 0.3893 0.6812
Mg 0.6923 0.6107 0.3188
Mg 0.6923 0.8893 0.8188
Mg 0.8532 0.6211 0.0364
Mg 0.8532 0.8789 0.5364
V 0.1926 0.0209 0.8137
V 0.1926 0.4791 0.3137
V 0.3598 0.7418 0.0304
V 0.3598 0.7582 0.5304
V 0.6402 0.2418 0.4696
V 0.6402 0.2582 0.9696
V 0.8074 0.5209 0.6863
V 0.8074 0.9791 0.1863
O 0.0317 0.0755 0.2476
O 0.0317 0.4245 0.7476
O 0.1487 0.6208 0.9983
O 0.1487 0.8792 0.4983
O 0.1740 0.1324 0.9601
O 0.1740 0.3676 0.4601
O 0.2502 0.1427 0.6834
O 0.2502 0.3573 0.1834
O 0.3255 0.6252 0.6510
O 0.3255 0.8748 0.1510
O 0.3896 0.6309 0.3751
O 0.3896 0.8691 0.8751
O 0.4280 0.1305 0.3987
O 0.4280 0.3695 0.8987
O 0.5720 0.6305 0.1013
O 0.5720 0.8695 0.6013
O 0.6105 0.1309 0.1249
O 0.6105 0.3691 0.6249
O 0.6745 0.1252 0.8490
O 0.6745 0.3748 0.3490
O 0.7498 0.6427 0.8166
O 0.7498 0.8573 0.3166
O 0.8260 0.6324 0.5399
O 0.8260 0.8676 0.0399
O 0.8513 0.1208 0.5017
O 0.8513 0.3792 0.0017
O 0.9683 0.5755 0.2524
O 0.9683 0.9245 0.7524

=====

Entry 8:
Below is a relaxed structure of MgVO3, with properties calculated at the PBE+U level.

## Properties
Its space group is Pnma (62). The crystal system is orthorhombic. Its uncorrected energy is -7.04 eV/atom.

a b c (Å): 5.2248 7.5006 5.0895
angles (deg): 90.00 90.00 90.00
Atoms (fractional coordinates):
Mg 0.0532 0.2500 0.0062
Mg 0.4468 0.7500 0.5062
Mg 0.5532 0.2500 0.4938
Mg 0.9468 0.7500 0.9938
V 0.0000 0.0000 0.5000
V 0.0000 0.5000 0.5000
V 0.5000 0.0000 0.0000
V 0.5000 0.5000 0.0000
O 0.0622 0.7500 0.3766
O 0.1955 0.5645 0.8249
O 0.1955 0.9355 0.8249
O 0.3045 0.0645 0.3249
O 0.3045 0.4355 0.3249
O 0.4378 0.2500 0.8766
O 0.5622 0.7500 0.1234
O 0.6955 0.5645 0.6751
O 0.6955 0.9355 0.6751
O 0.8045 0.0645 0.1751
O 0.8045 0.4355 0.1751
O 0.9378 0.2500 0.6234

=====

Entry 9:
Below is a relaxed structure of MgVO3, with properties calculated at the PBE+U level.

## Properties
As for the density of states at the Fermi level: 1.32 states/eV/cell. Its space group is Pm-3m (221). The crystal system is cubic. Its uncorrected energy is -5.74 eV/atom.

a b c (Å): 3.7976 3.7976 3.7976
angles (deg): 90.00 90.00 90.00
Atoms (fractional coordinates):
Mg 0.0000 0.0000 0.0000
V 0.5000 0.5000 0.5000
O 0.0000 0.0000 0.5000
O 0.0000 0.5000 0.0000
O 0.5000 0.0000 0.0000

=====

Entry 10:
Below is a relaxed structure of Mg5VO6, with properties calculated at the PBE+U level.

## Properties
As for the density of states at the Fermi level: 0.00 states/eV/cell. Its space group is C2/m (12). The crystal system is monoclinic. Its uncorrected energy is -6.30 eV/atom.

a b c (Å): 5.2479 5.2479 5.2474
angles (deg): 99.61 99.61 119.99
Atoms (fractional coordinates):
Mg 0.0000 0.0000 0.0000
Mg 0.1669 0.8331 0.5000
Mg 0.3335 0.6665 0.0000
Mg 0.6665 0.3335 0.0000
Mg 0.8331 0.1669 0.5000
V 0.5000 0.5000 0.5000
O 0.0752 0.4153 0.2470
O 0.2450 0.2450 0.7558
O 0.4153 0.0752 0.2470
O 0.5847 0.9248 0.7530
O 0.7550 0.7550 0.2442
O 0.9248 0.5847 0.7530

=====

Entry 11:
Below is a relaxed structure of Mg3VO, with properties calculated at the PBE+U level.

## Properties
As for the density of states at the Fermi level: 2.89 states/eV/cell. Its space group is Pm-3m (221). The crystal system is cubic. The energy above the most stable polymorph in this dataset is 1741.2 meV per atom. Its uncorrected energy is -2.19 eV/atom.

a b c (Å): 5.2171 5.2171 5.2171
angles (deg): 90.00 90.00 90.00
Atoms (fractional coordinates):
Mg 0.0000 0.0000 0.5000
Mg 0.0000 0.5000 0.0000
Mg 0.5000 0.0000 0.0000
V 0.0000 0.0000 0.0000
O 0.5000 0.5000 0.5000

=====

Entry 12:
Below is a relaxed structure of Mg2VO4, with properties calculated at the PBE+U level.

## Properties
Its space group is I4_1/amd (141). The crystal system is tetragonal. The energy above the most stable polymorph in this dataset is 0.0 meV per atom. Its uncorrected energy is -6.75 eV/atom.

a b c (Å): 5.9992 5.9992 5.9992
angles (deg): 120.82 120.82 88.58
Atoms (fractional coordinates):
Mg 0.0000 0.0000 0.0000
Mg 0.0000 0.0000 0.5000
Mg 0.0000 0.5000 0.0000
Mg 0.5000 0.0000 0.5000
V 0.3750 0.6250 0.7500
V 0.6250 0.3750 0.2500
O 0.2449 0.2455 0.5006
O 0.2449 0.7443 0.9994
O 0.2455 0.2449 0.0006
O 0.2557 0.7551 0.5006
O 0.7443 0.2449 0.4994
O 0.7545 0.7551 0.9994
O 0.7551 0.2557 0.0006
O 0.7551 0.7545 0.4994